## one
First-principles (PBE) data for a relaxed structure of MgSnAsPb2, as listed in Alexandria via LeMat-Bulk.

Unit cell a=5.8125 b=5.2096 c=5.8125 alpha=90.00 beta=90.00 gamma=90.00
Last column: nearest neighbours and their distance in Å.
Atoms (fractional coordinates):
Pb  0.0000  0.0000  0.5000  2 Sn 2.91
Pb  0.5000  0.0000  0.0000  2 Sn 2.91
As  0.5000  0.5000  0.5000  8 Pb 3.90, 4 Mg 4.11
Sn  0.0000  0.0000  0.0000  2 Mg 2.60, 4 Pb 2.91
Mg  0.0000  0.5000  0.0000  2 Sn 2.60

Summary:
Its symmetry is P4/mmm. The calculation puts the density of states at the Fermi level at 0.79 states/eV per atom. The value obtained for the theoretical density is 5.97 Mg/m³.

## two
First-principles (PBE) data for a relaxed structure of MgSnAsPb2, as listed in Alexandria via LeMat-Bulk.

Unit cell a=5.5652 b=4.9577 c=5.5652 alpha=90.00 beta=90.00 gamma=90.00
Last column: nearest neighbours and their distance in Å.
Atoms (fractional coordinates):
Mg  0.0000  0.0000  0.0000  2 As 2.48
Pb  0.5000  0.0000  0.0000  2 Mg 2.78
Pb  0.0000  0.0000  0.5000  2 Mg 2.78
As  0.0000  0.5000  0.0000  2 Mg 2.48
Sn  0.5000  0.5000  0.5000  8 Pb 3.73, 4 As 3.94

Summary:
Its symmetry is P4/mmm. The calculation puts the density of states at the Fermi level at 0.84 states/eV per atom. The value obtained for the theoretical density is 6.84 Mg/m³.

Least stable structure: one

## one
First-principles (PBE) data for a relaxed structure of Mg3AsPd, as listed in Alexandria via LeMat-Bulk.

Unit cell a=4.9060 b=4.9060 c=4.9060 alpha=90.00 beta=90.00 gamma=90.00
Last column: nearest neighbours and their distance in Å.
Atoms (fractional coordinates):
Mg  0.5000  0.0000  0.0000  2 Pd 2.45
Mg  0.0000  0.5000  0.0000  2 Pd 2.45
Mg  0.0000  0.0000  0.5000  2 Pd 2.45
As  0.5000  0.5000  0.5000  12 Mg 3.47
Pd  0.0000  0.0000  0.0000  6 Mg 2.45

Summary:
Its symmetry is Pm-3m. The calculation puts the density of states at the Fermi level at 0.55 states/eV per atom. The value obtained for the theoretical density is 3.58 Mg/m³.

## two
First-principles (PBE) data for a relaxed structure of Mg3AsPd, as listed in Alexandria via LeMat-Bulk.

Unit cell a=4.9217 b=4.9217 c=4.9217 alpha=90.00 beta=90.00 gamma=90.00
Last column: nearest neighbours and their distance in Å.
Atoms (fractional coordinates):
Mg  0.0000  0.5000  0.0000  2 As 2.46
Mg  0.0000  0.0000  0.5000  2 As 2.46
Mg  0.5000  0.0000  0.0000  2 As 2.46
Pd  0.5000  0.5000  0.5000  12 Mg 3.48
As  0.0000  0.0000  0.0000  6 Mg 2.46

Summary:
Its symmetry is Pm-3m. The calculation puts the density of states at the Fermi level at 0.61 states/eV per atom. The value obtained for the theoretical density is 3.54 Mg/m³.

Least stable structure: two

## one
First-principles (PBE) data for a relaxed structure of MgAs2Pd7, as listed in Alexandria via LeMat-Bulk.

Unit cell a=4.3846 b=7.0439 c=7.0439 alpha=116.58 beta=90.00 gamma=90.00
Last column: nearest neighbours and their distance in Å.
Atoms (fractional coordinates):
Mg  0.0000  0.0000  0.0000  10 Pd 2.66-2.96
Pd  0.5000  0.0674  0.3054  2 As 2.50-2.60, 2 Pd 2.72-2.76
Pd  0.0000  0.7778  0.2222  2 As 2.40, 1 Mg 2.66
Pd  0.5000  0.5000  0.5000  2 As 2.36
Pd  0.0000  0.2222  0.7778  2 As 2.40, 1 Mg 2.66
Pd  0.5000  0.3054  0.0674  2 As 2.50-2.60, 2 Pd 2.72-2.76
Pd  0.5000  0.6946  0.9326  2 As 2.50-2.60, 2 Pd 2.72-2.76
Pd  0.5000  0.9326  0.6946  2 As 2.50-2.60, 2 Pd 2.72-2.76
As  0.5000  0.3027  0.6973  7 Pd 2.36-2.60
As  0.5000  0.6973  0.3027  7 Pd 2.36-2.60

Summary:
Its symmetry is Cmmm. The calculation puts the density of states at the Fermi level at 0.58 states/eV per atom. The value obtained for the theoretical density is 7.84 Mg/m³.

## two
First-principles (PBE) data for a relaxed structure of MgAs2Pd7, as listed in Alexandria via LeMat-Bulk.

Unit cell a=4.0369 b=4.0369 c=10.5323 alpha=101.05 beta=101.05 gamma=90.00
Last column: nearest neighbours and their distance in Å.
Atoms (fractional coordinates):
Pd  0.9014  0.4014  0.8027  2 As 2.49
Pd  0.5986  0.0986  0.1973  2 As 2.49
Pd  0.2500  0.7500  0.5000  4 As 2.59, 4 Pd 2.85
Pd  0.7500  0.2500  0.5000  4 As 2.59, 4 Pd 2.85
Pd  0.4014  0.9014  0.8027  2 As 2.49
Pd  0.0986  0.5986  0.1973  2 As 2.49
Pd  0.5000  0.5000  0.0000  8 Pd 2.84, 4 Mg 2.85
As  0.3297  0.3297  0.6595  8 Pd 2.49-2.59
As  0.6703  0.6703  0.3405  8 Pd 2.49-2.59
Mg  0.0000  0.0000  0.0000  12 Pd 2.84-2.85

Summary:
Its symmetry is I4/mmm. The calculation puts the density of states at the Fermi level at 0.20 states/eV per atom. The value obtained for the theoretical density is 9.24 Mg/m³.

Least stable structure: one

## one
First-principles (PBE) data for a relaxed structure of Mg2AsPd4, as listed in Alexandria via LeMat-Bulk.

Unit cell a=4.5999 b=4.5999 c=7.5124 alpha=72.17 beta=72.17 gamma=90.00
Last column: nearest neighbours and their distance in Å.
Atoms (fractional coordinates):
As  0.0000  0.0000  0.0000  6 Pd 2.30-2.43
Pd  0.5000  0.0000  0.0000  2 As 2.30
Pd  0.8205  0.8205  0.3590  1 As 2.43, 1 Mg 2.61
Pd  0.1795  0.1795  0.6410  1 As 2.43, 1 Mg 2.61
Pd  0.0000  0.5000  0.0000  2 As 2.30
Mg  0.3721  0.3721  0.2557  5 Pd 2.61-2.88
Mg  0.6279  0.6279  0.7443  5 Pd 2.61-2.88

Summary:
Its symmetry is I4/mmm. The calculation puts the density of states at the Fermi level at 0.47 states/eV per atom. The value obtained for the theoretical density is 6.36 Mg/m³.

## two
First-principles (PBE) data for a relaxed structure of Mg2AsPd4, as listed in Alexandria via LeMat-Bulk.

Unit cell a=5.3865 b=5.3865 c=5.3865 alpha=99.87 beta=114.48 gamma=114.48
Last column: nearest neighbours and their distance in Å.
Atoms (fractional coordinates):
Mg  0.5000  0.0000  0.5000  8 Pd 2.69, 2 As 2.91
Mg  0.5000  0.5000  0.0000  8 Pd 2.69, 2 As 2.91
As  0.0000  0.0000  0.0000  8 Pd 2.69, 4 Mg 2.91
Pd  0.5000  0.5000  0.5000  2 As 2.69, 4 Mg 2.69, 4 Pd 2.91
Pd  0.0000  0.0000  0.5000  4 Mg 2.69, 2 As 2.69, 4 Pd 2.91
Pd  0.5000  0.0000  0.0000  4 Mg 2.69, 2 As 2.69, 4 Pd 2.91
Pd  0.0000  0.5000  0.0000  4 Mg 2.69, 2 As 2.69, 4 Pd 2.91

Summary:
Its symmetry is I4/mmm. The calculation puts the density of states at the Fermi level at 0.30 states/eV per atom. The value obtained for the theoretical density is 7.74 Mg/m³.

## three
First-principles (PBE) data for a relaxed structure of Mg2AsPd4, as listed in Alexandria via LeMat-Bulk.

Unit cell a=6.2549 b=5.3998 c=7.5501 alpha=90.00 beta=112.36 gamma=90.00
Last column: nearest neighbours and their distance in Å.
Atoms (fractional coordinates):
Mg  0.7645  0.7500  0.0279  8 Pd 2.73-2.93, 1 As 2.74
Mg  0.3241  0.2500  0.4239  6 Pd 2.61-2.91
Mg  0.6759  0.7500  0.5761  6 Pd 2.61-2.91
Mg  0.2355  0.2500  0.9721  8 Pd 2.73-2.93, 1 As 2.74
As  0.7623  0.2500  0.8023  4 Pd 2.47-2.51, 1 Mg 2.74
As  0.2377  0.7500  0.1977  4 Pd 2.47-2.51, 1 Mg 2.74
Pd  0.5856  0.0039  0.2534  1 As 2.47, 3 Pd 2.66-2.74, 3 Mg 2.66-2.75
Pd  0.0511  0.7500  0.4382  1 As 2.51
Pd  0.4144  0.9961  0.7466  1 As 2.47, 3 Pd 2.66-2.74, 3 Mg 2.66-2.75
Pd  0.9489  0.2500  0.5618  1 As 2.51
Pd  0.0907  0.7500  0.8420  1 As 2.49, 1 Mg 2.61, 2 Pd 2.74
Pd  0.9093  0.2500  0.1580  1 As 2.49, 1 Mg 2.61, 2 Pd 2.74
Pd  0.5856  0.4961  0.2534  1 As 2.47, 3 Pd 2.66-2.74, 3 Mg 2.66-2.75
Pd  0.4144  0.5039  0.7466  1 As 2.47, 3 Pd 2.66-2.74, 3 Mg 2.66-2.75

Summary:
Its symmetry is P2_1/m. The calculation puts the density of states at the Fermi level at 0.45 states/eV per atom. The value obtained for the theoretical density is 7.73 Mg/m³.

Least stable structure: one

## one
First-principles (PBE) data for a relaxed structure of PmMgAs2, as listed in Alexandria via LeMat-Bulk.

Unit cell a=5.0218 b=5.0218 c=5.0218 alpha=60.00 beta=60.00 gamma=60.00
Last column: nearest neighbours and their distance in Å.
Atoms (fractional coordinates):
Pm  0.0000  0.0000  0.0000  8 As 3.08
As  0.7500  0.7500  0.7500  4 Mg 3.08, 4 Pm 3.08
As  0.2500  0.2500  0.2500  4 Mg 3.08, 4 Pm 3.08
Mg  0.5000  0.5000  0.5000  8 As 3.08

Summary:
Its symmetry is Fm-3m. The calculation puts the density of states at the Fermi level at 0.54 states/eV per atom. The value obtained for the theoretical density is 5.92 Mg/m³.

## two
First-principles (PBE) data for a relaxed structure of PmMgAs2, as listed in Alexandria via LeMat-Bulk.

Unit cell a=4.2178 b=4.2178 c=6.7502 alpha=71.79 beta=71.79 gamma=60.00
Last column: nearest neighbours and their distance in Å.
Atoms (fractional coordinates):
As  0.2562  0.2562  0.2313  3 Mg 2.84, 3 Pm 2.97
As  0.7438  0.7438  0.7687  3 Mg 2.84, 3 Pm 2.97
Mg  0.0000  0.0000  0.0000  6 As 2.84
Pm  0.5000  0.5000  0.5000  6 As 2.97

Summary:
Its symmetry is R-3m. The calculation puts the density of states at the Fermi level at 0.72 states/eV per atom. The value obtained for the theoretical density is 5.46 Mg/m³.

Least stable structure: one

## one
First-principles (PBE) data for a relaxed structure of Mg3AsPt, as listed in Alexandria via LeMat-Bulk.

Unit cell a=4.9377 b=4.9377 c=4.9377 alpha=90.00 beta=90.00 gamma=90.00
Last column: nearest neighbours and their distance in Å.
Atoms (fractional coordinates):
As  0.5000  0.5000  0.5000  12 Mg 3.49
Pt  0.0000  0.0000  0.0000  6 Mg 2.47
Mg  0.0000  0.0000  0.5000  2 Pt 2.47
Mg  0.0000  0.5000  0.0000  2 Pt 2.47
Mg  0.5000  0.0000  0.0000  2 Pt 2.47

Summary:
Its symmetry is Pm-3m. The calculation puts the density of states at the Fermi level at 0.50 states/eV per atom. The value obtained for the theoretical density is 4.73 Mg/m³.

## two
First-principles (PBE) data for a relaxed structure of Mg3AsPt, as listed in Alexandria via LeMat-Bulk.

Unit cell a=4.8597 b=4.8597 c=4.8597 alpha=90.00 beta=90.00 gamma=90.00
Last column: nearest neighbours and their distance in Å.
Atoms (fractional coordinates):
Pt  0.5000  0.5000  0.5000  12 Mg 3.44
Mg  0.0000  0.0000  0.5000  2 As 2.43
Mg  0.5000  0.0000  0.0000  2 As 2.43
Mg  0.0000  0.5000  0.0000  2 As 2.43
As  0.0000  0.0000  0.0000  6 Mg 2.43

Summary:
Its symmetry is Pm-3m. The calculation puts the density of states at the Fermi level at 0.54 states/eV per atom. The value obtained for the theoretical density is 4.96 Mg/m³.

Least stable structure: two

## one
First-principles (PBE) data for a relaxed structure of MgAsPt3, as listed in Alexandria via LeMat-Bulk.

Unit cell a=4.6800 b=4.6800 c=4.6800 alpha=90.00 beta=90.00 gamma=90.00
Last column: nearest neighbours and their distance in Å.
Atoms (fractional coordinates):
Pt  0.0000  0.5000  0.0000  2 As 2.34
Pt  0.5000  0.0000  0.0000  2 As 2.34
Pt  0.0000  0.0000  0.5000  2 As 2.34
As  0.0000  0.0000  0.0000  6 Pt 2.34
Mg  0.5000  0.5000  0.5000  12 Pt 3.31

Summary:
Its symmetry is Pm-3m. The calculation puts the density of states at the Fermi level at 0.83 states/eV per atom. The value obtained for the theoretical density is 11.09 Mg/m³.

## two
First-principles (PBE) data for a relaxed structure of MgAsPt3, as listed in Alexandria via LeMat-Bulk.

Unit cell a=4.6276 b=4.6276 c=4.6276 alpha=90.00 beta=90.00 gamma=90.00
Last column: nearest neighbours and their distance in Å.
Atoms (fractional coordinates):
As  0.5000  0.5000  0.5000  12 Pt 3.27
Pt  0.0000  0.0000  0.5000  2 Mg 2.31
Pt  0.0000  0.5000  0.0000  2 Mg 2.31
Pt  0.5000  0.0000  0.0000  2 Mg 2.31
Mg  0.0000  0.0000  0.0000  6 Pt 2.31

Summary:
Its symmetry is Pm-3m. The calculation puts the density of states at the Fermi level at 0.66 states/eV per atom. The value obtained for the theoretical density is 11.47 Mg/m³.

Least stable structure: two

## one
First-principles (PBE) data for a relaxed structure of RbMgAs2, as listed in Alexandria via LeMat-Bulk.

Unit cell a=5.2256 b=5.2256 c=5.2256 alpha=60.00 beta=60.00 gamma=60.00
Last column: nearest neighbours and their distance in Å.
Atoms (fractional coordinates):
Rb  0.5000  0.5000  0.5000  8 As 3.20
As  0.2500  0.2500  0.2500  4 Mg 3.20, 4 Rb 3.20
As  0.7500  0.7500  0.7500  4 Mg 3.20, 4 Rb 3.20
Mg  0.0000  0.0000  0.0000  8 As 3.20

Summary:
Its symmetry is Fm-3m. The calculation puts the density of states at the Fermi level at 0.63 states/eV per atom. The value obtained for the theoretical density is 4.27 Mg/m³.

## two
First-principles (PBE) data for a relaxed structure of RbMgAs2, as listed in Alexandria via LeMat-Bulk.

Unit cell a=5.4962 b=5.4962 c=9.5618 alpha=73.30 beta=73.30 gamma=90.00
Last column: nearest neighbours and their distance in Å.
Atoms (fractional coordinates):
Rb  0.0000  0.0000  0.0000  8 As 3.59-3.95, 4 Mg 3.89
Rb  0.7500  0.2500  0.5000  8 As 3.59-3.95, 4 Mg 3.89
As  0.8750  0.6696  0.7500  2 Mg 2.59, 2 As 2.79
As  0.3750  0.5804  0.7500  2 Mg 2.59, 2 As 2.79
As  0.4196  0.1250  0.2500  2 Mg 2.59, 2 As 2.79
As  0.3304  0.6250  0.2500  2 Mg 2.59, 2 As 2.79
Mg  0.5000  0.5000  0.0000  4 As 2.59
Mg  0.2500  0.7500  0.5000  4 As 2.59

Summary:
Its symmetry is I-42d. The calculation puts the density of states at the Fermi level at 0.45 states/eV per atom. The value obtained for the theoretical density is 3.27 Mg/m³.

Least stable structure: one